1.
The following is a GGA-PBE calculation of a geometry-optimized LiCeHgIr structure, from Alexandria via LeMat-Bulk.

Geometry as CIF:
```
data_LiCeHgIr
_symmetry_space_group_name_H-M 'F -4 3 m'
_symmetry_Int_Tables_number 216
_symmetry_space_group_name_Hall 'F -4 2 3'
_cell_length_a 6.808
_cell_length_b 6.808
_cell_length_c 6.808
_cell_angle_alpha 90.00
_cell_angle_beta 90.00
_cell_angle_gamma 90.00
loop_
_atom_site_label
_atom_site_type_symbol
_atom_site_fract_x
_atom_site_fract_y
_atom_site_fract_z
Li1 Li 0.000 0.000 0.000
Ce1 Ce 0.250 0.250 0.750
Hg1 Hg 0.250 0.250 0.250
Ir1 Ir 0.000 0.000 0.500
```

Values from the calculation:
The value obtained for the formation energy is -7.01 kcal/mol of atoms. The raw total energy comes out at -4.5565 eV/atom. The density of states at the Fermi level is 1.472 states/eV per atom.



2.
The following is a GGA-PBE calculation of a geometry-optimized CeMgHgIr structure, from Alexandria via LeMat-Bulk.

Geometry as CIF:
```
data_CeMgHgIr
_symmetry_space_group_name_H-M 'F -4 3 m'
_symmetry_Int_Tables_number 216
_symmetry_space_group_name_Hall 'F -4 2 3'
_cell_length_a 6.979
_cell_length_b 6.979
_cell_length_c 6.979
_cell_angle_alpha 90.00
_cell_angle_beta 90.00
_cell_angle_gamma 90.00
loop_
_atom_site_label
_atom_site_type_symbol
_atom_site_fract_x
_atom_site_fract_y
_atom_site_fract_z
Ce1 Ce 0.000 0.000 0.000
Mg1 Mg 0.000 0.000 0.500
Hg1 Hg 0.250 0.250 0.250
Ir1 Ir 0.250 0.250 0.750
```

Values from the calculation:
The value obtained for the formation energy is -8.10 kcal/mol of atoms. The raw total energy comes out at -4.5239 eV/atom. The density of states at the Fermi level is 0.805 states/eV per atom.



3.
The following is a GGA-PBE calculation of a geometry-optimized CeHgIrO6 structure, from Alexandria via LeMat-Bulk.

Geometry as CIF:
```
data_CeHgIrO6
_symmetry_space_group_name_H-M 'P -3 1 c'
_symmetry_Int_Tables_number 163
_symmetry_space_group_name_Hall '-P 3 2c'
_cell_length_a 5.6288
_cell_length_b 5.6288
_cell_length_c 9.3894
_cell_angle_alpha 90.00
_cell_angle_beta 90.00
_cell_angle_gamma 120.00
loop_
_atom_site_label
_atom_site_type_symbol
_atom_site_fract_x
_atom_site_fract_y
_atom_site_fract_z
Ce1 Ce 0.3333 0.6667 0.2500
Hg1 Hg 0.0000 0.0000 0.0000
Ir1 Ir 0.3333 0.6667 0.7500
O1 O 0.0384 0.3837 0.6346
```

Values from the calculation:
The calculation puts the formation energy from raw total energies at -1.35 eV per atom. The raw total energy comes out at -6.3343 eV/atom. The density of states at the Fermi level is 0.602 states/eV per atom.



4.
The following is a GGA-PBE calculation of a geometry-optimized CePmHgIr structure, from Alexandria via LeMat-Bulk.

Geometry as CIF:
```
data_CePmHgIr
_symmetry_space_group_name_H-M 'R 3 m'
_symmetry_Int_Tables_number 160
_symmetry_space_group_name_Hall 'R 3 -2"'
_cell_length_a 4.1128
_cell_length_b 4.1128
_cell_length_c 23.0098
_cell_angle_alpha 90.00
_cell_angle_beta 90.00
_cell_angle_gamma 120.00
loop_
_atom_site_label
_atom_site_type_symbol
_atom_site_fract_x
_atom_site_fract_y
_atom_site_fract_z
Ce1 Ce 0.0000 0.0000 0.0000
Pm1 Pm 0.0000 0.0000 0.1999
Hg1 Hg 0.0000 0.0000 0.4327
Ir1 Ir 0.0000 0.0000 0.6039
```

Values from the calculation:
The value obtained for the excess energy over the best structure of this formula in the dataset is 0 kJ/mol of formula units. The value obtained for the formation energy is -13.00 kcal/mol of atoms. The raw total energy comes out at -5.5257 eV/atom. The density of states at the Fermi level is 1.344 states/eV per atom.



5.
The following is a GGA-PBE calculation of a geometry-optimized CePmHgIr structure, from Alexandria via LeMat-Bulk.

Geometry as CIF:
```
data_CePmHgIr
_symmetry_space_group_name_H-M 'F -4 3 m'
_symmetry_Int_Tables_number 216
_symmetry_space_group_name_Hall 'F -4 2 3'
_cell_length_a 7.308
_cell_length_b 7.308
_cell_length_c 7.308
_cell_angle_alpha 90.00
_cell_angle_beta 90.00
_cell_angle_gamma 90.00
loop_
_atom_site_label
_atom_site_type_symbol
_atom_site_fract_x
_atom_site_fract_y
_atom_site_fract_z
Ce1 Ce 0.000 0.000 0.000
Pm1 Pm 0.000 0.000 0.500
Hg1 Hg 0.250 0.250 0.250
Ir1 Ir 0.250 0.250 0.750
```

Values from the calculation:
The value obtained for the excess energy over the best structure of this formula in the dataset is 43 kJ/mol of formula units. The value obtained for the formation energy is -10.44 kcal/mol of atoms. The raw total energy comes out at -5.4145 eV/atom. The density of states at the Fermi level is 1.705 states/eV per atom.



6.
The following is a GGA-PBE calculation of a geometry-optimized CePrHgIr structure, from Alexandria via LeMat-Bulk.

Geometry as CIF:
```
data_CePrHgIr
_symmetry_space_group_name_H-M 'R 3 m'
_symmetry_Int_Tables_number 160
_symmetry_space_group_name_Hall 'R 3 -2"'
_cell_length_a 4.1351
_cell_length_b 4.1351
_cell_length_c 23.2364
_cell_angle_alpha 90.00
_cell_angle_beta 90.00
_cell_angle_gamma 120.00
loop_
_atom_site_label
_atom_site_type_symbol
_atom_site_fract_x
_atom_site_fract_y
_atom_site_fract_z
Ce1 Ce 0.0000 0.0000 0.0000
Pr1 Pr 0.0000 0.0000 0.1997
Hg1 Hg 0.0000 0.0000 0.4311
Ir1 Ir 0.0000 0.0000 0.6052
```

Values from the calculation:
The value obtained for the excess energy over the best structure of this formula in the dataset is 0 kJ/mol of formula units. The value obtained for the formation energy is -12.58 kcal/mol of atoms. The raw total energy comes out at -5.5147 eV/atom. The density of states at the Fermi level is 1.415 states/eV per atom.